# 1
BRh | GGA-PBE | optimized geometry

```
BRh
1.0
-4.238 4.373 -5.582
1.604 -1.370 -2.291
-4.344 -4.588 -0.296
B Rh
6 6
Direct
0.831 0.000 0.681
0.169 0.000 0.681
0.331 0.500 0.181
0.669 0.500 0.181
0.000 0.000 0.338
0.500 0.500 0.838
0.759 0.000 0.360
0.241 0.000 0.360
0.259 0.500 0.860
0.741 0.500 0.860
0.000 0.500 0.584
0.500 0.000 0.084
```

Output
calculated formation energy	0.014	eV/atom



# 2
YIn2Cl | GGA-PBE | optimized geometry

```
YIn2Cl
1.0
-2.736 -0.383 1.946
-0.797 -2.824 -1.677
5.377 -5.381 6.502
Cl In Y
1 2 1
Direct
0.500 0.500 0.667
0.000 0.000 0.040
0.500 0.500 0.283
0.000 0.000 0.510
```

Output
E_form (uncorrected)	-732	meV/atom
ΔE to the lowest computed polymorph	0	meV per atom



no.,calculated density (g/cm3),total DFT energy (no corrections) (eV per cell)
1,7.0,-84.01
2,5.1,-16.71